Record 1
An optimized crystal structure of ZrBiAs, computed with PBE-GGA.

Structure (POSCAR):
```
ZrBiAs
1.0
0.680 -0.766 4.677
0.231 3.705 3.024
-3.565 0.787 3.098
Bi As Zr
1 1 1
Direct
0.250 0.250 0.250
0.000 0.000 0.000
0.750 0.750 0.750
```

Energy above the lowest structure with this stoichiometry: 0.18 eV/f.u.
SG: F-43m
Electronic total energy: -17.18 eV/f.u.

Record 2
An optimized crystal structure of BaUP2S8, computed with PBE-GGA.

Structure (POSCAR):
```
BaUP2S8
1.0
11.360 0.000 0.000
0.000 11.360 0.000
0.000 0.000 9.712
S Ba U P
32 4 4 8
Direct
0.131 0.074 0.000
0.068 0.777 0.174
0.863 0.624 0.000
0.631 0.426 0.000
0.068 0.777 0.826
0.432 0.277 0.174
0.932 0.223 0.826
0.932 0.223 0.174
0.624 0.137 0.500
0.568 0.723 0.174
0.574 0.631 0.500
0.777 0.932 0.326
0.777 0.932 0.674
0.223 0.068 0.326
0.723 0.432 0.326
0.876 0.637 0.500
0.637 0.124 0.000
0.568 0.723 0.826
0.277 0.568 0.326
0.369 0.574 0.000
0.363 0.876 0.000
0.137 0.376 0.000
0.223 0.068 0.674
0.376 0.863 0.500
0.869 0.926 0.000
0.723 0.432 0.674
0.926 0.131 0.500
0.432 0.277 0.826
0.074 0.869 0.500
0.277 0.568 0.674
0.124 0.363 0.500
0.426 0.369 0.500
0.000 0.500 0.750
0.000 0.500 0.250
0.500 0.000 0.750
0.500 0.000 0.250
0.000 0.000 0.750
0.500 0.500 0.250
0.500 0.500 0.750
0.000 0.000 0.250
0.230 0.964 0.500
0.536 0.270 0.000
0.464 0.730 0.000
0.036 0.230 0.000
0.770 0.036 0.500
0.270 0.464 0.500
0.964 0.770 0.000
0.730 0.536 0.500
```

SG: P4_2/mbc
Electronic total energy: -67.90 eV/f.u.

Record 3
An optimized crystal structure of PaGaBi, computed with PBE-GGA.

Structure (POSCAR):
```
PaGaBi
1.0
-2.782 2.838 2.865
-0.900 4.642 -1.283
-4.487 1.311 -1.466
Pa Ga Bi
1 1 1
Direct
0.750 0.750 0.750
0.000 0.000 0.000
0.250 0.250 0.250
```

Energy above the lowest structure with this stoichiometry: 0.00 eV/f.u.
SG: F-43m
Electronic total energy: -15.85 eV/f.u.

Record 4
An optimized crystal structure of Gd3TlZn, computed with PBE-GGA.

Structure (POSCAR):
```
Gd3TlZn
1.0
-3.759 3.759 5.516
3.759 -3.759 5.516
3.759 3.759 -5.516
Gd Tl Zn
6 2 2
Direct
0.673 0.827 0.500
0.827 0.327 0.155
0.250 0.250 0.000
0.327 0.173 0.500
0.173 0.673 0.845
0.750 0.750 0.000
0.250 0.750 0.500
0.750 0.250 0.500
0.500 0.500 0.000
0.000 0.000 0.000
```

SG: I4/mcm
Electronic total energy: -17.50 eV/f.u.

Record 5
An optimized crystal structure of Er3SeN2, computed with PBE-GGA.

Structure (POSCAR):
```
Er3SeN2
1.0
-0.296 -2.572 -2.424
-1.936 -0.130 2.969
-6.727 4.712 -4.179
Se Er N
1 3 2
Direct
0.000 0.000 0.000
0.333 0.667 0.215
0.667 0.333 0.785
0.000 0.000 0.500
0.667 0.333 0.345
0.333 0.667 0.655
```

SG: P-3m1
Electronic total energy: -44.29 eV/f.u.

Record 6
An optimized crystal structure of GdHoGe2Ir, computed with PBE-GGA.

Structure (POSCAR):
```
GdHoGe2Ir
1.0
-2.369 5.173 -0.239
-3.719 2.607 -3.435
-4.258 -6.377 6.920
Ge Ho Ir Gd
4 2 2 2
Direct
0.481 0.481 0.117
0.354 0.354 0.447
0.519 0.519 0.883
0.646 0.646 0.553
0.009 0.009 0.331
0.991 0.991 0.669
0.271 0.271 0.663
0.729 0.729 0.337
0.809 0.809 0.882
0.191 0.191 0.118
```

Energy above the lowest structure with this stoichiometry: 0.00 eV/f.u.
SG: C2/m
Electronic total energy: -31.92 eV/f.u.

| no. | calculated volume (A^3/atom) |
| --- | --- |
| 1 | 25.87 |
| 2 | 26.11 |
| 3 | 27.72 |
| 4 | 31.18 |
| 5 | 16.73 |
| 6 | 20.96 |